LiNb3InCl9: relaxed, PBE.

CIF file:
```
data_LiNb3InCl9
_chemical_formula_sum 'Li2 Nb6 In2 Cl18'
_cell_length_a 9.273
_cell_length_b 9.322
_cell_length_c 9.328
_cell_angle_alpha 119.30
_cell_angle_beta 105.08
_cell_angle_gamma 96.61
_space_group_name_H-M_alt 'P -1'
_space_group_IT_number 2
loop_
_space_group_symop_operation_xyz
'x,y,z'
'-x,-y,-z'
loop_
_atom_site_label
_atom_site_type_symbol
_atom_site_fract_x
_atom_site_fract_y
_atom_site_fract_z
Li1 Li 0.118 0.049 0.189
Nb1 Nb 0.357 0.297 0.978
Nb2 Nb 0.359 0.428 0.750
Nb3 Nb 0.366 0.656 0.108
In1 In 0.160 0.732 0.516
Cl1 Cl 0.165 0.172 0.676
Cl2 Cl 0.167 0.033 0.941
Cl3 Cl 0.169 0.338 0.434
Cl4 Cl 0.174 0.444 0.100
Cl5 Cl 0.175 0.599 0.831
Cl6 Cl 0.197 0.848 0.250
Cl7 Cl 0.489 0.077 0.848
Cl8 Cl 0.492 0.233 0.578
Cl9 Cl 0.497 0.346 0.270
```

Properties
The calculation puts the total magnetization at 0.0 μB/f.u. The value obtained for the raw total energy is -4.964 eV/atom.